1.
Crystalline Tb2TiB2Rh5 at its relaxed geometry. Source: Alexandria via LeMat-Bulk, functional PBE.

- Space group: P4/mbm, No. 127
- Formation energy from the elements: -0.788 eV/atom
- V: 295 Å³/cell

The structure in CIF format:
```
data_Tb2TiB2Rh5
_cell_length_a 3.2153
_cell_length_b 9.5720
_cell_length_c 9.5720
_cell_angle_alpha 90.00
_cell_angle_beta 90.00
_cell_angle_gamma 90.00
_symmetry_space_group_name_H-M 'P 1'
_symmetry_Int_Tables_number 1
loop_
_symmetry_equiv_pos_as_xyz
'x,y,z'
loop_
_atom_site_label
_atom_site_fract_x
_atom_site_fract_y
_atom_site_fract_z
Rh1 0.5000 0.5697 0.7198
Rh2 0.5000 0.0000 0.5000
Rh3 0.5000 0.2802 0.5697
Rh4 0.5000 0.4303 0.2802
Rh5 0.5000 0.9303 0.2198
Rh6 0.5000 0.2198 0.0697
Rh7 0.5000 0.5000 0.0000
Rh8 0.5000 0.0697 0.7802
Rh9 0.5000 0.7198 0.4303
Rh10 0.5000 0.7802 0.9303
Tb1 0.0000 0.8246 0.6754
Tb2 0.0000 0.6754 0.1754
Tb3 0.0000 0.3246 0.8246
Tb4 0.0000 0.1754 0.3246
B1 0.0000 0.1210 0.6210
B2 0.0000 0.3790 0.1210
B3 0.0000 0.6210 0.8790
B4 0.0000 0.8790 0.3790
Ti1 0.0000 0.0000 0.0000
Ti2 0.0000 0.5000 0.5000
```

=====

2.
Crystalline Tb2TlB2Rh5 at its relaxed geometry. Source: Alexandria via LeMat-Bulk, functional PBE.

- Space group: P4/mbm, No. 127
- Formation energy from the elements: -0.688 eV/atom
- V: 308 Å³/cell

The structure in CIF format:
```
data_Tb2TlB2Rh5
_cell_length_a 3.2664
_cell_length_b 9.7029
_cell_length_c 9.7029
_cell_angle_alpha 90.00
_cell_angle_beta 90.00
_cell_angle_gamma 90.00
_symmetry_space_group_name_H-M 'P 1'
_symmetry_Int_Tables_number 1
loop_
_symmetry_equiv_pos_as_xyz
'x,y,z'
loop_
_atom_site_label
_atom_site_fract_x
_atom_site_fract_y
_atom_site_fract_z
Tb1 0.0000 0.8244 0.6756
Tb2 0.0000 0.3244 0.8244
Tb3 0.0000 0.6756 0.1756
Tb4 0.0000 0.1756 0.3244
Rh1 0.5000 0.2289 0.0708
Rh2 0.5000 0.5000 0.0000
Rh3 0.5000 0.0708 0.7711
Rh4 0.5000 0.7289 0.4292
Rh5 0.5000 0.2711 0.5708
Rh6 0.5000 0.5708 0.7289
Rh7 0.5000 0.7711 0.9292
Rh8 0.5000 0.4292 0.2711
Rh9 0.5000 0.0000 0.5000
Rh10 0.5000 0.9292 0.2289
B1 0.0000 0.6209 0.8791
B2 0.0000 0.1209 0.6209
B3 0.0000 0.3791 0.1209
B4 0.0000 0.8791 0.3791
Tl1 0.0000 0.5000 0.5000
Tl2 0.0000 0.0000 0.0000
```

=====

3.
Crystalline Tb2TmB2Rh5 at its relaxed geometry. Source: Alexandria via LeMat-Bulk, functional PBE.

- Space group: P4/mbm, No. 127
- Formation energy from the elements: -0.811 eV/atom
- V: 313 Å³/cell

The structure in CIF format:
```
data_Tb2TmB2Rh5
_cell_length_a 3.2510
_cell_length_b 9.8184
_cell_length_c 9.8184
_cell_angle_alpha 90.00
_cell_angle_beta 90.00
_cell_angle_gamma 90.00
_symmetry_space_group_name_H-M 'P 1'
_symmetry_Int_Tables_number 1
loop_
_symmetry_equiv_pos_as_xyz
'x,y,z'
loop_
_atom_site_label
_atom_site_fract_x
_atom_site_fract_y
_atom_site_fract_z
Rh1 0.5000 0.4285 0.2701
Rh2 0.5000 0.5715 0.7299
Rh3 0.5000 0.9285 0.2299
Rh4 0.5000 0.2299 0.0715
Rh5 0.5000 0.0715 0.7701
Rh6 0.5000 0.7299 0.4285
Rh7 0.5000 0.2701 0.5715
Rh8 0.5000 0.7701 0.9285
Rh9 0.5000 0.5000 0.0000
Rh10 0.5000 0.0000 0.5000
B1 0.0000 0.3786 0.1214
B2 0.0000 0.1214 0.6214
B3 0.0000 0.6214 0.8786
B4 0.0000 0.8786 0.3786
Tb1 0.0000 0.3256 0.8256
Tb2 0.0000 0.1744 0.3256
Tb3 0.0000 0.6744 0.1744
Tb4 0.0000 0.8256 0.6744
Tm1 0.0000 0.5000 0.5000
Tm2 0.0000 0.0000 0.0000
```

=====

Copy entry 2 word for word.
Crystalline Tb2TlB2Rh5 at its relaxed geometry. Source: Alexandria via LeMat-Bulk, functional PBE.

- Space group: P4/mbm, No. 127
- Formation energy from the elements: -0.688 eV/atom
- V: 308 Å³/cell

The structure in CIF format:
```
data_Tb2TlB2Rh5
_cell_length_a 3.2664
_cell_length_b 9.7029
_cell_length_c 9.7029
_cell_angle_alpha 90.00
_cell_angle_beta 90.00
_cell_angle_gamma 90.00
_symmetry_space_group_name_H-M 'P 1'
_symmetry_Int_Tables_number 1
loop_
_symmetry_equiv_pos_as_xyz
'x,y,z'
loop_
_atom_site_label
_atom_site_fract_x
_atom_site_fract_y
_atom_site_fract_z
Tb1 0.0000 0.8244 0.6756
Tb2 0.0000 0.3244 0.8244
Tb3 0.0000 0.6756 0.1756
Tb4 0.0000 0.1756 0.3244
Rh1 0.5000 0.2289 0.0708
Rh2 0.5000 0.5000 0.0000
Rh3 0.5000 0.0708 0.7711
Rh4 0.5000 0.7289 0.4292
Rh5 0.5000 0.2711 0.5708
Rh6 0.5000 0.5708 0.7289
Rh7 0.5000 0.7711 0.9292
Rh8 0.5000 0.4292 0.2711
Rh9 0.5000 0.0000 0.5000
Rh10 0.5000 0.9292 0.2289
B1 0.0000 0.6209 0.8791
B2 0.0000 0.1209 0.6209
B3 0.0000 0.3791 0.1209
B4 0.0000 0.8791 0.3791
Tl1 0.0000 0.5000 0.5000
Tl2 0.0000 0.0000 0.0000
```

=====

- What is the formula in the second record?
  Tb2TlB2Rh5

=====

- Which of these has the highest formation energy from the elements?
  Tb2TlB2Rh5

=====

- What is the formula in the second record?
  Tb2TlB2Rh5